# 1
{"formula": "GdHgTeO", "functional": "PBE", "state": "optimized geometry", "space_group": "No. 14", "relative_energy_mev_per_atom": 76, "final_energy_ev_per_atom": -4.837, "lattice_angstrom": [[7.838, 0.000, 0.000], [0.000, 7.591, 0.000], [-2.222, 0.000, 6.778]], "species": ["Gd", "Gd", "Gd", "Gd", "Hg", "Hg", "Hg", "Hg", "Te", "Te", "Te", "Te", "O", "O", "O", "O"], "frac_coords": [[0.008, 0.143, 0.186], [0.008, 0.357, 0.686], [0.992, 0.643, 0.314], [0.992, 0.857, 0.814], [0.427, 0.733, 0.484], [0.427, 0.767, 0.984], [0.573, 0.233, 0.016], [0.573, 0.267, 0.516], [0.299, 0.062, 0.657], [0.299, 0.438, 0.157], [0.701, 0.562, 0.843], [0.701, 0.938, 0.343], [0.053, 0.641, 0.633], [0.053, 0.859, 0.133], [0.947, 0.141, 0.867], [0.947, 0.359, 0.367]]}

***

# 2
{"formula": "GdHgTeO", "functional": "PBE", "state": "optimized geometry", "space_group": "No. 166", "relative_energy_mev_per_atom": 593, "final_energy_ev_per_atom": -4.319, "lattice_angstrom": [[2.581, 1.490, 9.918], [-2.581, 1.490, 9.918], [0.000, -2.980, 9.918]], "species": ["Gd", "Gd", "Hg", "Hg", "Te", "Te", "O", "O"], "frac_coords": [[0.236, 0.236, 0.236], [0.764, 0.764, 0.764], [0.378, 0.378, 0.378], [0.622, 0.622, 0.622], [0.123, 0.123, 0.123], [0.877, 0.877, 0.877], [0.304, 0.304, 0.304], [0.696, 0.696, 0.696]]}

***

# 3
{"formula": "GdHgTeO", "functional": "PBE", "state": "optimized geometry", "space_group": "No. 26", "relative_energy_mev_per_atom": 158, "final_energy_ev_per_atom": -4.755, "lattice_angstrom": [[5.016, 0.000, 0.000], [0.000, 9.202, 0.000], [0.000, 0.000, 5.842]], "species": ["Gd", "Gd", "Hg", "Hg", "Te", "Te", "O", "O"], "frac_coords": [[0.000, 0.129, 0.000], [0.000, 0.871, 0.500], [0.500, 0.304, 0.618], [0.500, 0.696, 0.118], [0.500, 0.311, 0.123], [0.500, 0.689, 0.623], [0.000, 0.074, 0.656], [0.000, 0.926, 0.156]]}

***

# 4
{"formula": "GdTlHgO3", "functional": "PBE", "state": "optimized geometry", "space_group": "No. 63", "final_energy_ev_per_atom": -5.350, "lattice_angstrom": [[1.786, -6.716, 0.000], [1.786, 6.716, 0.000], [0.000, 0.000, 8.965]], "species": ["Gd", "Gd", "Tl", "Tl", "Hg", "Hg", "O", "O", "O", "O", "O", "O"], "frac_coords": [[0.000, 0.000, 0.000], [0.000, 0.000, 0.500], [0.331, 0.669, 0.750], [0.669, 0.331, 0.250], [0.354, 0.646, 0.250], [0.646, 0.354, 0.750], [0.045, 0.955, 0.250], [0.392, 0.608, 0.024], [0.392, 0.608, 0.476], [0.608, 0.392, 0.524], [0.608, 0.392, 0.976], [0.955, 0.045, 0.750]]}